Entry 1:
## Pm3DyAl8 (PBE)

Data for a relaxed Pm3DyAl8 crystal.

Total magnetization ... 0.00 μB per cell
Calculated density ... 5.3 g cm⁻³
Electronic total energy ... -54.8 eV/cell
ΔE to the lowest computed polymorph ... 10 meV per atom
Energy relative to the elements ... -0.50 eV per atom
SG ... P3m1, No. 156

abc: 5.6239 5.6239 9.2590
angles: 90.00 90.00 120.00
Atoms (fractional coordinates):
Pm 0.0000 0.0000 0.0000
Pm 0.0000 0.0000 0.3637
Pm 0.3333 0.6667 0.8629
Dy 0.3333 0.6667 0.4992
Al 0.0090 0.5045 0.1827
Al 0.3246 0.1623 0.6787
Al 0.4955 0.5045 0.1827
Al 0.4955 0.9910 0.1827
Al 0.6667 0.3333 0.4320
Al 0.6667 0.3333 0.9297
Al 0.8377 0.1623 0.6787
Al 0.8377 0.6754 0.6787


Entry 2:
## UMn3Pt12 (PBE)

Data for a relaxed UMn3Pt12 crystal.

Total magnetization ... 12.62 μB per cell
Calculated density ... 17.9 g cm⁻³
Electronic total energy ... -118.5 eV/cell
Energy relative to the elements ... -0.45 eV per atom
SG ... P4/mmm, No. 123

abc: 4.0021 4.0021 15.8808
angles: 90.00 90.00 90.00
Atoms (fractional coordinates):
U 0.0000 0.0000 0.0000
Mn 0.0000 0.0000 0.2605
Mn 0.0000 0.0000 0.5000
Mn 0.0000 0.0000 0.7395
Pt 0.0000 0.5000 0.1320
Pt 0.0000 0.5000 0.3791
Pt 0.0000 0.5000 0.6209
Pt 0.0000 0.5000 0.8680
Pt 0.5000 0.0000 0.1320
Pt 0.5000 0.0000 0.3791
Pt 0.5000 0.0000 0.6209
Pt 0.5000 0.0000 0.8680
Pt 0.5000 0.5000 0.0000
Pt 0.5000 0.5000 0.2567
Pt 0.5000 0.5000 0.5000
Pt 0.5000 0.5000 0.7433


Entry 3:
## Cd2Pd2Au (PBE)

Data for a relaxed Cd2Pd2Au crystal.

Total magnetization ... 0.00 μB per cell
Calculated density ... 10.6 g cm⁻³
Electronic total energy ... -15.6 eV/cell
ΔE to the lowest computed polymorph ... 265 meV per atom
Energy relative to the elements ... -0.02 eV per atom
SG ... I4/mmm, No. 139

abc: 7.5135 7.5135 7.5135
angles: 151.04 151.04 41.41
Atoms (fractional coordinates):
Cd 0.1022 0.1022 0.0000
Cd 0.8978 0.8978 0.0000
Pd 0.2500 0.7500 0.5000
Pd 0.7500 0.2500 0.5000
Au 0.5000 0.5000 0.0000


Entry 4:
## Tm8S3 (PBE)

Data for a relaxed Tm8S3 crystal.

Total magnetization ... 0.00 μB per cell
E_form (uncorrected) ... -935 meV per atom
Calculated density ... 8.7 g cm⁻³
Electronic total energy ... -58.4 eV/cell
SG ... C2/m, No. 12

abc: 6.3494 6.3494 13.8659
angles: 113.75 113.75 33.16
Atoms (fractional coordinates):
Tm 0.0372 0.0372 0.2066
Tm 0.1728 0.1728 0.6740
Tm 0.3305 0.3305 0.9479
Tm 0.3886 0.3886 0.5551
Tm 0.6114 0.6114 0.4449
Tm 0.6695 0.6695 0.0521
Tm 0.8272 0.8272 0.3260
Tm 0.9628 0.9628 0.7934
S 0.0000 0.0000 0.0000
S 0.3483 0.3483 0.1530
S 0.6517 0.6517 0.8470


Entry 5:
## ZrTaGaC2 (PBE)

Data for a relaxed ZrTaGaC2 crystal.

Total magnetization ... 0.00 μB per cell
Calculated density ... 7.5 g cm⁻³
Electronic total energy ... -31.5 eV/cell
ΔE to the lowest computed polymorph ... 641 meV per atom
Energy relative to the elements ... 2.08 eV per atom
SG ... P4/mmm, No. 123

abc: 4.0660 4.0660 4.9142
angles: 90.00 90.00 90.00
Atoms (fractional coordinates):
Zr 0.0000 0.0000 0.0000
Ta 0.5000 0.5000 0.0000
Ga 0.5000 0.5000 0.5000
C 0.0000 0.5000 0.5000
C 0.5000 0.0000 0.5000


Entry 6:
## ZrBeCo2Te (PBE)

Data for a relaxed ZrBeCo2Te crystal.

Total magnetization ... 0.00 μB per cell
E_form (uncorrected) ... 216 meV per atom
Calculated density ... 7.4 g cm⁻³
Electronic total energy ... -28.5 eV/cell
SG ... P4/mmm, No. 123

abc: 4.0561 4.0561 4.7228
angles: 90.00 90.00 90.00
Atoms (fractional coordinates):
Zr 0.0000 0.0000 0.0000
Be 0.0000 0.0000 0.5000
Co 0.0000 0.5000 0.5000
Co 0.5000 0.0000 0.5000
Te 0.5000 0.5000 0.0000


Entry 7:
## KRbInF3 (PBE)

Data for a relaxed KRbInF3 crystal.

Total magnetization ... 0.00 μB per cell
E_form (uncorrected) ... -2283 meV per atom
Calculated density ... 4.2 g cm⁻³
Electronic total energy ... -48.2 eV/cell
SG ... C2/m, No. 12

abc: 7.4816 7.4816 6.8077
angles: 90.08 90.08 38.31
Atoms (fractional coordinates):
K 0.1659 0.1659 0.0009
K 0.8341 0.8341 0.9991
Rb 0.1622 0.1622 0.5007
Rb 0.8378 0.8378 0.4993
In 0.5000 0.5000 0.2425
In 0.5000 0.5000 0.7575
F 0.9999 0.9999 0.2392
F 0.0001 0.0001 0.7608
F 0.3254 0.3254 0.2405
F 0.3255 0.3255 0.7600
F 0.6745 0.6745 0.2400
F 0.6746 0.6746 0.7595


Entry 8:
## ThTe2Cl2 (PBE)

Data for a relaxed ThTe2Cl2 crystal.

Total magnetization ... 0.00 μB per cell
E_form (uncorrected) ... -1456 meV per atom
Calculated density ... 4.9 g cm⁻³
Electronic total energy ... -49.3 eV/cell
SG ... C2/m, No. 12

abc: 7.8233 7.8233 7.8780
angles: 97.90 97.90 125.26
Atoms (fractional coordinates):
Th 0.1514 0.8486 0.0000
Th 0.8486 0.1514 0.0000
Te 0.0981 0.0981 0.3299
Te 0.3527 0.3527 0.1242
Te 0.6473 0.6473 0.8758
Te 0.9019 0.9019 0.6701
Cl 0.0149 0.4523 0.7880
Cl 0.4523 0.0149 0.7880
Cl 0.5477 0.9851 0.2120
Cl 0.9851 0.5477 0.2120


Entry 9:
## Tl3BF6 (PBE)

Data for a relaxed Tl3BF6 crystal.

Total magnetization ... 0.00 μB per cell
E_form (uncorrected) ... -2299 meV per atom
Calculated density ... 5.6 g cm⁻³
Electronic total energy ... -96.0 eV/cell
ΔE to the lowest computed polymorph ... 0 meV per atom
SG ... Cmc2_1, No. 36

abc: 8.2614 8.2614 6.5955
angles: 90.00 90.00 103.84
Atoms (fractional coordinates):
Tl 0.1047 0.8953 0.5000
Tl 0.1918 0.3951 0.4973
Tl 0.3951 0.1918 0.9973
Tl 0.6049 0.8082 0.4973
Tl 0.8082 0.6049 0.9973
Tl 0.8953 0.1047 0.0000
B 0.3181 0.6819 0.9691
B 0.6819 0.3181 0.4691
F 0.1559 0.1563 0.2464
F 0.1563 0.1559 0.7464
F 0.1561 0.6160 0.8883
F 0.3092 0.6908 0.1827
F 0.3840 0.8439 0.8883
F 0.4239 0.5761 0.9124
F 0.5761 0.4239 0.4124
F 0.6160 0.1561 0.3883
F 0.6908 0.3092 0.6827
F 0.8439 0.3840 0.3883
F 0.8437 0.8441 0.2464
F 0.8441 0.8437 0.7464


Entry 10:
## HfPb3Br (PBE)

Data for a relaxed HfPb3Br crystal.

Total magnetization ... 0.00 μB per cell
E_form (uncorrected) ... 902 meV per atom
Calculated density ... 8.4 g cm⁻³
Electronic total energy ... -18.2 eV/cell
ΔE to the lowest computed polymorph ... 635 meV per atom
SG ... Pm-3m, No. 221

abc: 5.5726 5.5726 5.5726
angles: 90.00 90.00 90.00
Atoms (fractional coordinates):
Hf 0.0000 0.0000 0.0000
Pb 0.0000 0.5000 0.5000
Pb 0.5000 0.0000 0.5000
Pb 0.5000 0.5000 0.0000
Br 0.5000 0.5000 0.5000


Entry 11:
## SmC (PBE)

Data for a relaxed SmC crystal.

Total magnetization ... 0.00 μB per cell
Calculated density ... 8.0 g cm⁻³
Electronic total energy ... -27.2 eV/cell
ΔE to the lowest computed polymorph ... 366 meV per atom
Energy relative to the elements ... 0.18 eV per atom
SG ... I4/mmm, No. 139

abc: 5.3669 5.3669 5.3669
angles: 138.41 138.41 60.28
Atoms (fractional coordinates):
Sm 0.1545 0.1545 0.0000
Sm 0.8455 0.8455 0.0000
C 0.4248 0.4248 0.0000
C 0.5752 0.5752 0.0000


Entry 12:
## Tc4SbOs (PBE)

Data for a relaxed Tc4SbOs crystal.

Total magnetization ... 0.00 μB per cell
E_form (uncorrected) ... 637 meV per atom
Calculated density ... 12.1 g cm⁻³
Electronic total energy ... -53.0 eV/cell
SG ... F-43m, No. 216

abc: 5.1497 5.1497 5.1497
angles: 60.00 60.00 60.00
Atoms (fractional coordinates):
Tc 0.1242 0.1242 0.1242
Tc 0.1242 0.1242 0.6273
Tc 0.1242 0.6273 0.1242
Tc 0.6273 0.1242 0.1242
Sb 0.5000 0.5000 0.5000
Os 0.7500 0.7500 0.7500


Entry 13:
## TaGaAgPt2 (PBE)

Data for a relaxed TaGaAgPt2 crystal.

Total magnetization ... 0.00 μB per cell
Calculated density ... 11.8 g cm⁻³
Electronic total energy ... -23.4 eV/cell
Energy relative to the elements ... 1.28 eV per atom
SG ... P4/mmm, No. 123

abc: 4.8832 4.8832 4.4258
angles: 90.00 90.00 90.00
Atoms (fractional coordinates):
Ta 0.0000 0.0000 0.0000
Ga 0.5000 0.5000 0.0000
Ag 0.5000 0.5000 0.5000
Pt 0.0000 0.5000 0.5000
Pt 0.5000 0.0000 0.5000


Entry 14:
## Co2Si2Pb (PBE)

Data for a relaxed Co2Si2Pb crystal.

Total magnetization ... 0.00 μB per cell
E_form (uncorrected) ... 96 meV per atom
Calculated density ... 8.7 g cm⁻³
Electronic total energy ... -56.6 eV/cell
SG ... P4/mbm, No. 127

abc: 7.2243 7.2243 2.7870
angles: 90.00 90.00 90.00
Atoms (fractional coordinates):
Co 0.1390 0.3610 0.0000
Co 0.3610 0.8610 0.0000
Co 0.6390 0.1390 0.0000
Co 0.8610 0.6390 0.0000
Si 0.1340 0.6340 0.5000
Si 0.3660 0.1340 0.5000
Si 0.6340 0.8660 0.5000
Si 0.8660 0.3660 0.5000
Pb 0.0000 0.0000 0.0000
Pb 0.5000 0.5000 0.0000


Entry 15:
## RbNb2CoRh (PBE)

Data for a relaxed RbNb2CoRh crystal.

Total magnetization ... 3.19 μB per cell
Calculated density ... 6.0 g cm⁻³
Electronic total energy ... -29.1 eV/cell
Energy relative to the elements ... 1.30 eV per atom
SG ... P4/mmm, No. 123

abc: 4.9262 4.9262 4.9346
angles: 90.00 90.00 90.00
Atoms (fractional coordinates):
Rb 0.0000 0.0000 0.0000
Nb 0.0000 0.5000 0.5000
Nb 0.5000 0.0000 0.5000
Co 0.5000 0.5000 0.0000
Rh 0.5000 0.5000 0.5000


Entry 16:
## Cs2Rb3SrI6 (PBE)

Data for a relaxed Cs2Rb3SrI6 crystal.

Total magnetization ... 0.00 μB per cell
E_form (uncorrected) ... -1419 meV per atom
Calculated density ... 3.4 g cm⁻³
Electronic total energy ... -32.6 eV/cell
SG ... C2/m, No. 12

abc: 9.3690 9.3690 9.2889
angles: 99.63 99.63 119.72
Atoms (fractional coordinates):
Cs 0.1661 0.8339 0.0000
Cs 0.8339 0.1661 0.0000
Rb 0.0000 0.0000 0.5000
Rb 0.3309 0.6691 0.5000
Rb 0.6691 0.3309 0.5000
Sr 0.5000 0.5000 0.0000
I 0.1326 0.4228 0.7688
I 0.2880 0.2880 0.2320
I 0.4228 0.1326 0.7688
I 0.5772 0.8674 0.2312
I 0.7120 0.7120 0.7680
I 0.8674 0.5772 0.2312


Entry 17:
## CsLa2TiSi (PBE)

Data for a relaxed CsLa2TiSi crystal.

Total magnetization ... 0.00 μB per cell
E_form (uncorrected) ... 356 meV per atom
Calculated density ... 5.0 g cm⁻³
Electronic total energy ... -22.2 eV/cell
SG ... P4/mmm, No. 123

abc: 5.6112 5.6112 5.1256
angles: 90.00 90.00 90.00
Atoms (fractional coordinates):
Cs 0.0000 0.0000 0.0000
La 0.0000 0.5000 0.5000
La 0.5000 0.0000 0.5000
Ti 0.5000 0.5000 0.5000
Si 0.5000 0.5000 0.0000


Entry 18:
## Dy2ErAl (PBE)

Data for a relaxed Dy2ErAl crystal.

Total magnetization ... 0.00 μB per cell
Calculated density ... 8.1 g cm⁻³
Electronic total energy ... -18.3 eV/cell
ΔE to the lowest computed polymorph ... 9 meV per atom
Energy relative to the elements ... -0.19 eV per atom
SG ... P4/mmm, No. 123

abc: 4.7462 4.7462 4.7383
angles: 90.00 90.00 90.00
Atoms (fractional coordinates):
Dy 0.0000 0.5000 0.0000
Dy 0.5000 0.0000 0.0000
Er 0.0000 0.0000 0.5000
Al 0.5000 0.5000 0.5000


Entry 19:
## YMg2W (PBE)

Data for a relaxed YMg2W crystal.

Total magnetization ... 2.09 μB per cell
Calculated density ... 6.0 g cm⁻³
Electronic total energy ... -20.2 eV/cell
ΔE to the lowest computed polymorph ... 252 meV per atom
Energy relative to the elements ... 0.60 eV per atom
SG ... F-43m, No. 216

abc: 4.9988 4.9988 4.9988
angles: 60.00 60.00 60.00
Atoms (fractional coordinates):
Y 0.0000 0.0000 0.0000
Mg 0.5000 0.5000 0.5000
Mg 0.7500 0.7500 0.7500
W 0.2500 0.2500 0.2500


Entry 20:
## POs2AuN (PBE)

Data for a relaxed POs2AuN crystal.

Total magnetization ... 0.00 μB per cell
E_form (uncorrected) ... 1315 meV per atom
Calculated density ... 14.4 g cm⁻³
Electronic total energy ... -32.9 eV/cell
ΔE to the lowest computed polymorph ... 0 meV per atom
SG ... P4/mmm, No. 123

abc: 4.6116 4.6116 3.3772
angles: 90.00 90.00 90.00
Atoms (fractional coordinates):
P 0.0000 0.0000 0.0000
Os 0.0000 0.5000 0.0000
Os 0.5000 0.0000 0.0000
Au 0.5000 0.5000 0.5000
N 0.0000 0.0000 0.5000


Entry 21:
## Mn2CrRu (PBE)

Data for a relaxed Mn2CrRu crystal.

Total magnetization ... 1.97 μB per cell
Calculated density ... 9.0 g cm⁻³
Electronic total energy ... -36.7 eV/cell
Energy relative to the elements ... 0.14 eV per atom
SG ... P2/m, No. 10

abc: 2.5622 3.9504 4.9280
angles: 90.00 103.42 90.00
Atoms (fractional coordinates):
Mn 0.1622 0.0000 0.2595
Mn 0.8378 0.0000 0.7405
Cr 0.0000 0.5000 0.5000
Ru 0.5000 0.5000 0.0000


Entry 22:
## Cd2GaAg2 (PBE)

Data for a relaxed Cd2GaAg2 crystal.

Total magnetization ... 0.00 μB per cell
Calculated density ... 8.8 g cm⁻³
Electronic total energy ... -42.0 eV/cell
ΔE to the lowest computed polymorph ... 0 meV per atom
Energy relative to the elements ... 0.01 eV per atom
SG ... P2_1/c, No. 14

abc: 12.3176 6.1676 5.1225
angles: 90.00 95.78 90.00
Atoms (fractional coordinates):
Cd 0.0053 0.1249 0.2515
Cd 0.0053 0.3751 0.7515
Cd 0.3979 0.1244 0.0541
Cd 0.3979 0.3756 0.5541
Cd 0.6021 0.6244 0.4459
Cd 0.6021 0.8756 0.9459
Cd 0.9947 0.6249 0.2485
Cd 0.9947 0.8751 0.7485
Ga 0.2081 0.6279 0.6750
Ga 0.2081 0.8721 0.1750
Ga 0.7919 0.1279 0.8250
Ga 0.7919 0.3721 0.3250
Ag 0.2015 0.1137 0.6635
Ag 0.2015 0.3863 0.1635
Ag 0.4006 0.6273 0.0519
Ag 0.4006 0.8727 0.5519
Ag 0.5994 0.1273 0.4481
Ag 0.5994 0.3727 0.9481
Ag 0.7985 0.6137 0.8365
Ag 0.7985 0.8863 0.3365


Entry 23:
## TeAu2 (PBE)

Data for a relaxed TeAu2 crystal.

Total magnetization ... 0.00 μB per cell
E_form (uncorrected) ... 233 meV per atom
Calculated density ... 11.8 g cm⁻³
Electronic total energy ... -27.0 eV/cell
SG ... P-62m, No. 189

abc: 8.0197 8.0197 3.9544
angles: 90.00 90.00 120.00
Atoms (fractional coordinates):
Te 0.0000 0.0000 0.0000
Te 0.3333 0.6667 0.5000
Te 0.6667 0.3333 0.5000
Au 0.0000 0.2502 0.5000
Au 0.0000 0.4953 0.0000
Au 0.2502 0.0000 0.5000
Au 0.4953 0.0000 0.0000
Au 0.5047 0.5047 0.0000
Au 0.7498 0.7498 0.5000


Entry 24:
## ThPaTe6 (PBE)

Data for a relaxed ThPaTe6 crystal.

Total magnetization ... 0.68 μB per cell
E_form (uncorrected) ... -796 meV per atom
Calculated density ... 7.8 g cm⁻³
Electronic total energy ... -42.1 eV/cell
ΔE to the lowest computed polymorph ... 0 meV per atom
SG ... Amm2, No. 38

abc: 4.4926 13.1501 13.1501
angles: 19.65 90.00 90.00
Atoms (fractional coordinates):
Th 0.0000 0.0000 0.0000
Pa 0.5000 0.3341 0.3341
Te 0.0000 0.2489 0.2489
Te 0.0000 0.5900 0.5900
Te 0.0000 0.8727 0.8727
Te 0.5000 0.0900 0.0900
Te 0.5000 0.4602 0.4602
Te 0.5000 0.7489 0.7489